(1)
Material: AlFeAg3
Method: DFT, PBE-GGA
State: optimized geometry

Geometry as CIF:
```
data_AlFeAg3
_chemical_formula_sum 'Al1 Fe1 Ag3'
_cell_length_a 4.871
_cell_length_b 4.871
_cell_length_c 4.871
_cell_angle_alpha 90.00
_cell_angle_beta 90.00
_cell_angle_gamma 90.00
_space_group_name_H-M_alt 'P 1'
_space_group_IT_number 1
_space_group_name_Hall 'P 1'
loop_
_atom_site_label
_atom_site_fract_x
_atom_site_fract_y
_atom_site_fract_z
Al1 0.000 0.000 0.000
Fe1 0.500 0.500 0.500
Ag1 0.000 0.500 0.500
Ag2 0.500 0.000 0.500
Ag3 0.500 0.500 0.000
```

The value obtained for the formation energy is 0.9888 eV per atom. Its symmetry is Pm-3m, No. 221. As for the energy relative to the lowest polymorph listed for this composition: 1.33 kcal/mol of atoms. The density comes out at 5.8 Mg/m³. For the raw total energy, the calculation gives -3.163 eV per atom. As for the total magnetization: 3.12 μB/cell.

=====

(2)
Material: Al6FeAg2
Method: DFT, PBE-GGA
State: optimized geometry

Geometry as CIF:
```
data_Al6FeAg2
_chemical_formula_sum 'Al6 Fe1 Ag2'
_cell_length_a 4.029
_cell_length_b 7.414
_cell_length_c 7.414
_cell_angle_alpha 137.47
_cell_angle_beta 90.00
_cell_angle_gamma 90.00
_space_group_name_H-M_alt 'P 1'
_space_group_IT_number 1
_space_group_name_Hall 'P 1'
loop_
_atom_site_label
_atom_site_fract_x
_atom_site_fract_y
_atom_site_fract_z
Al1 0.000 0.000 0.000
Al2 0.000 0.475 0.665
Al3 0.000 0.665 0.475
Al4 0.500 0.062 0.733
Al5 0.500 0.298 0.298
Al6 0.500 0.733 0.062
Fe1 0.500 0.745 0.745
Ag1 0.000 0.420 0.988
Ag2 0.000 0.988 0.420
```

The value obtained for the formation energy is -0.0789 eV per atom. Its symmetry is Amm2, No. 38. The density comes out at 4.8 Mg/m³. For the raw total energy, the calculation gives -4.148 eV per atom. As for the total magnetization: 0.00 μB/cell.

=====

(3)
Material: Al2FeAg
Method: DFT, PBE-GGA
State: optimized geometry

Geometry as CIF:
```
data_Al2FeAg
_chemical_formula_sum 'Al8 Fe4 Ag4'
_cell_length_a 6.109
_cell_length_b 6.109
_cell_length_c 6.109
_cell_angle_alpha 90.00
_cell_angle_beta 90.00
_cell_angle_gamma 90.00
_space_group_name_H-M_alt 'P 1'
_space_group_IT_number 1
_space_group_name_Hall 'P 1'
loop_
_atom_site_label
_atom_site_fract_x
_atom_site_fract_y
_atom_site_fract_z
Al1 0.250 0.250 0.250
Al2 0.250 0.250 0.750
Al3 0.250 0.750 0.250
Al4 0.250 0.750 0.750
Al5 0.750 0.250 0.250
Al6 0.750 0.250 0.750
Al7 0.750 0.750 0.250
Al8 0.750 0.750 0.750
Fe1 0.000 0.000 0.000
Fe2 0.000 0.500 0.500
Fe3 0.500 0.000 0.500
Fe4 0.500 0.500 0.000
Ag1 0.000 0.000 0.500
Ag2 0.000 0.500 0.000
Ag3 0.500 0.000 0.000
Ag4 0.500 0.500 0.500
```

The value obtained for the formation energy is -0.0618 eV per atom. Its symmetry is Fm-3m, No. 225. As for the energy relative to the lowest polymorph listed for this composition: 4.10 kcal/mol of atoms. The density comes out at 6.3 Mg/m³. For the raw total energy, the calculation gives -4.762 eV per atom. As for the total magnetization: 5.82 μB/cell.

=====

(4)
Material: Al2FeAg
Method: DFT, PBE-GGA
State: optimized geometry

Geometry as CIF:
```
data_Al2FeAg
_chemical_formula_sum 'Al6 Fe3 Ag3'
_cell_length_a 2.841
_cell_length_b 2.841
_cell_length_c 26.331
_cell_angle_alpha 90.00
_cell_angle_beta 90.00
_cell_angle_gamma 120.00
_space_group_name_H-M_alt 'P 1'
_space_group_IT_number 1
_space_group_name_Hall 'P 1'
loop_
_atom_site_label
_atom_site_fract_x
_atom_site_fract_y
_atom_site_fract_z
Al1 0.000 0.000 0.000
Al2 0.000 0.000 0.246
Al3 0.333 0.667 0.667
Al4 0.333 0.667 0.913
Al5 0.667 0.333 0.333
Al6 0.667 0.333 0.580
Fe1 0.000 0.000 0.741
Fe2 0.333 0.667 0.408
Fe3 0.667 0.333 0.075
Ag1 0.000 0.000 0.494
Ag2 0.333 0.667 0.160
Ag3 0.667 0.333 0.827
```

The value obtained for the formation energy is 0.0481 eV per atom. Its symmetry is R3m, No. 160. As for the energy relative to the lowest polymorph listed for this composition: 6.63 kcal/mol of atoms. The density comes out at 5.9 Mg/m³. For the raw total energy, the calculation gives -4.652 eV per atom. As for the total magnetization: 7.17 μB/cell.

=====

Number 2 is which compound? Al6FeAg2